Record 1
This record from the Alexandria database describes crystalline Ag7Pd3Pt at its relaxed geometry. The functional is PBE.

Theoretical density, Mg/m³: 10.16
N(E_F), states/eV/f.u.: 3.87
Spin magnetization, μB/f.u.: 0.0
Formation enthalpy at 0 K, eV per atom: 0.2313

```
data_Ag7Pd3Pt
_cell_length_a 9.808
_cell_length_b 9.772
_cell_length_c 5.011
_cell_angle_alpha 90.00
_cell_angle_beta 120.18
_cell_angle_gamma 90.00
_symmetry_space_group_name_H-M 'C 1 2/m 1'
_symmetry_Int_Tables_number 12
_symmetry_space_group_name_Hall '-C 2y'
loop_
_atom_site_label
_atom_site_fract_x
_atom_site_fract_y
_atom_site_fract_z
Ag1 0.000 0.000 0.000
Ag2 0.168 0.258 0.668
Ag3 0.179 0.500 0.175
Pd1 0.000 0.271 0.000
Pd2 0.000 0.500 0.500
Pt1 0.000 0.000 0.500
```

=====

Record 2
This record from the Alexandria database describes crystalline AgPd9Pt2 at its relaxed geometry. The functional is PBE.

Theoretical density, Mg/m³: 12.93
N(E_F), states/eV/f.u.: 26.77
Spin magnetization, μB/f.u.: 0.1
Formation enthalpy at 0 K, eV per atom: -0.0133

```
data_AgPd9Pt2
_cell_length_a 3.960
_cell_length_b 3.960
_cell_length_c 11.919
_cell_angle_alpha 90.00
_cell_angle_beta 90.00
_cell_angle_gamma 90.00
_symmetry_space_group_name_H-M 'P 4/m m m'
_symmetry_Int_Tables_number 123
_symmetry_space_group_name_Hall '-P 4 2'
loop_
_atom_site_label
_atom_site_fract_x
_atom_site_fract_y
_atom_site_fract_z
Ag1 0.000 0.000 0.000
Pd1 0.000 0.500 0.170
Pd2 0.000 0.500 0.500
Pd3 0.500 0.500 0.000
Pd4 0.500 0.500 0.334
Pt1 0.000 0.000 0.337
```

=====

Record 3
This record from the Alexandria database describes crystalline Ag4Pd4Pt at its relaxed geometry. The functional is PBE.

Theoretical density, Mg/m³: 11.85
N(E_F), states/eV/f.u.: 5.14
Spin magnetization, μB/f.u.: 0.0
Formation enthalpy at 0 K, eV per atom: -0.0242

```
data_Ag4Pd4Pt
_cell_length_a 8.644
_cell_length_b 8.644
_cell_length_c 3.947
_cell_angle_alpha 90.00
_cell_angle_beta 90.00
_cell_angle_gamma 90.00
_symmetry_space_group_name_H-M 'I 4/m m m'
_symmetry_Int_Tables_number 139
_symmetry_space_group_name_Hall '-I 4 2'
loop_
_atom_site_label
_atom_site_fract_x
_atom_site_fract_y
_atom_site_fract_z
Ag1 0.000 0.330 0.000
Pd1 0.165 0.165 0.500
Pt1 0.000 0.000 0.000
```

=====

Record 4
This record from the Alexandria database describes crystalline AgPdPt2 at its relaxed geometry. The functional is PBE.

Theoretical density, Mg/m³: 15.67
Offset from the most stable computed form, eV/f.u.: 0.15
N(E_F), states/eV/f.u.: 4.82
Spin magnetization, μB/f.u.: 0.0
Formation enthalpy at 0 K, eV per atom: 0.0163

```
data_AgPdPt2
_cell_length_a 3.943
_cell_length_b 3.943
_cell_length_c 4.121
_cell_angle_alpha 90.00
_cell_angle_beta 90.00
_cell_angle_gamma 90.00
_symmetry_space_group_name_H-M 'P 4/m m m'
_symmetry_Int_Tables_number 123
_symmetry_space_group_name_Hall '-P 4 2'
loop_
_atom_site_label
_atom_site_fract_x
_atom_site_fract_y
_atom_site_fract_z
Ag1 0.000 0.000 0.000
Pd1 0.500 0.500 0.000
Pt1 0.000 0.500 0.500
```

=====

Record 5
This record from the Alexandria database describes crystalline Ag5Pd4Pt2 at its relaxed geometry. The functional is PBE.

Theoretical density, Mg/m³: 11.79
Offset from the most stable computed form, eV/f.u.: 0.00
N(E_F), states/eV/f.u.: 10.75
Spin magnetization, μB/f.u.: 0.0
Formation enthalpy at 0 K, eV per atom: 0.0800

```
data_Ag5Pd4Pt2
_cell_length_a 19.847
_cell_length_b 2.809
_cell_length_c 6.922
_cell_angle_alpha 90.00
_cell_angle_beta 98.31
_cell_angle_gamma 90.00
_symmetry_space_group_name_H-M 'C 1 2/m 1'
_symmetry_Int_Tables_number 12
_symmetry_space_group_name_Hall '-C 2y'
loop_
_atom_site_label
_atom_site_fract_x
_atom_site_fract_y
_atom_site_fract_z
Ag1 0.000 0.000 0.000
Ag2 0.096 0.500 0.291
Ag3 0.180 0.500 0.984
Pd1 0.041 0.500 0.675
Pd2 0.153 0.000 0.638
Pt1 0.226 0.000 0.330
```

=====

Record 6
This record from the Alexandria database describes crystalline Ag2Pd5Pt4 at its relaxed geometry. The functional is PBE.

Theoretical density, Mg/m³: 13.58
N(E_F), states/eV/f.u.: 18.51
Spin magnetization, μB/f.u.: 0.0
Formation enthalpy at 0 K, eV per atom: 0.1584

```
data_Ag2Pd5Pt4
_cell_length_a 9.942
_cell_length_b 5.511
_cell_length_c 8.264
_cell_angle_alpha 90.00
_cell_angle_beta 124.36
_cell_angle_gamma 90.00
_symmetry_space_group_name_H-M 'C 1 2/m 1'
_symmetry_Int_Tables_number 12
_symmetry_space_group_name_Hall '-C 2y'
loop_
_atom_site_label
_atom_site_fract_x
_atom_site_fract_y
_atom_site_fract_z
Ag1 0.250 0.000 0.175
Pd1 0.000 0.000 0.500
Pd2 0.002 0.245 0.815
Pt1 0.226 0.500 0.148
Pt2 0.237 0.500 0.491
```

=====

Record 7
This record from the Alexandria database describes crystalline Ag3Pd2Pt at its relaxed geometry. The functional is PBE.

Theoretical density, Mg/m³: 12.23
Offset from the most stable computed form, eV/f.u.: 0.00
N(E_F), states/eV/f.u.: 5.27
Spin magnetization, μB/f.u.: 0.0
Formation enthalpy at 0 K, eV per atom: 0.0005

```
data_Ag3Pd2Pt
_cell_length_a 5.7206
_cell_length_b 5.7206
_cell_length_c 7.0111
_cell_angle_alpha 90.00
_cell_angle_beta 90.00
_cell_angle_gamma 120.00
_symmetry_space_group_name_H-M 'P -3 m 1'
_symmetry_Int_Tables_number 164
_symmetry_space_group_name_Hall '-P 3 2"'
loop_
_atom_site_label
_atom_site_fract_x
_atom_site_fract_y
_atom_site_fract_z
Ag1 0.1678 0.3356 0.1668
Pd1 0.0000 0.0000 0.5000
Pd2 0.0000 0.5000 0.5000
Pt1 0.3333 0.6667 0.8201
```

=====

Record 8
This record from the Alexandria database describes crystalline AgPd4Pt2 at its relaxed geometry. The functional is PBE.

Theoretical density, Mg/m³: 10.19
Offset from the most stable computed form, eV/f.u.: 6.65
N(E_F), states/eV/f.u.: 9.62
Spin magnetization, μB/f.u.: 0.0
Formation enthalpy at 0 K, eV per atom: 0.9336

```
data_AgPd4Pt2
_cell_length_a 4.834
_cell_length_b 4.834
_cell_length_c 12.884
_cell_angle_alpha 90.00
_cell_angle_beta 90.00
_cell_angle_gamma 90.00
_symmetry_space_group_name_H-M 'I 4/m m m'
_symmetry_Int_Tables_number 139
_symmetry_space_group_name_Hall '-I 4 2'
loop_
_atom_site_label
_atom_site_fract_x
_atom_site_fract_y
_atom_site_fract_z
Ag1 0.000 0.000 0.000
Pd1 0.000 0.000 0.205
Pd2 0.000 0.500 0.000
Pt1 0.000 0.000 0.399
```

=====

Record 9
This record from the Alexandria database describes crystalline AgPdPt2 at its relaxed geometry. The functional is PBE.

Theoretical density, Mg/m³: 15.68
Offset from the most stable computed form, eV/f.u.: 0.05
N(E_F), states/eV/f.u.: 5.89
Spin magnetization, μB/f.u.: 0.0
Formation enthalpy at 0 K, eV per atom: -0.0093

```
data_AgPdPt2
_cell_length_a 2.7835
_cell_length_b 2.7835
_cell_length_c 28.6223
_cell_angle_alpha 90.00
_cell_angle_beta 90.00
_cell_angle_gamma 120.00
_symmetry_space_group_name_H-M 'R 3 m'
_symmetry_Int_Tables_number 160
_symmetry_space_group_name_Hall 'R 3 -2"'
loop_
_atom_site_label
_atom_site_fract_x
_atom_site_fract_y
_atom_site_fract_z
Ag1 0.0000 0.0000 0.0000
Pd1 0.0000 0.0000 0.8329
Pt1 0.0000 0.0000 0.4177
Pt2 0.0000 0.0000 0.5819
```

=====

Record 10
This record from the Alexandria database describes crystalline Ag2Pd6Pt at its relaxed geometry. The functional is PBE.

Theoretical density, Mg/m³: 12.18
Offset from the most stable computed form, eV/f.u.: 0.00
N(E_F), states/eV/f.u.: 17.04
Spin magnetization, μB/f.u.: 0.0
Formation enthalpy at 0 K, eV per atom: -0.0116

```
data_Ag2Pd6Pt
_cell_length_a 8.892
_cell_length_b 3.978
_cell_length_c 8.483
_cell_angle_alpha 90.00
_cell_angle_beta 107.58
_cell_angle_gamma 90.00
_symmetry_space_group_name_H-M 'C 1 2/m 1'
_symmetry_Int_Tables_number 12
_symmetry_space_group_name_Hall '-C 2y'
loop_
_atom_site_label
_atom_site_fract_x
_atom_site_fract_y
_atom_site_fract_z
Ag1 0.167 0.000 0.056
Pd1 0.003 0.500 0.173
Pd2 0.161 0.000 0.716
Pd3 0.170 0.000 0.391
Pt1 0.000 0.500 0.500
```